Record 1
# LaPaCo2 | Alexandria | GGA-PBE | relaxed
data_LaPaCo2
_cell_length_a 3.356
_cell_length_b 3.356
_cell_length_c 7.087
_cell_angle_alpha 90.00
_cell_angle_beta 90.00
_cell_angle_gamma 90.00
_symmetry_space_group_name_H-M 'P 4/m m m'
_symmetry_Int_Tables_number 123
_symmetry_space_group_name_Hall '-P 4 2'
loop_
_atom_site_label
_atom_site_fract_x
_atom_site_fract_y
_atom_site_fract_z
_atom_site_occupancy
La1 0.000 0.000 0.000 1
Pa1 0.000 0.000 0.500 1
Co1 0.500 0.500 0.313 1
# - offset from the most stable computed form (eV/atom) = 0.1140
# - energy relative to the elements (kJ per mole of atoms) = -19.8
# - M_tot (μB/f.u.) = 0.0
# - calculated total energy (eV/atom) = -7.364

Record 2
# ZnSiPt2 | Alexandria | GGA-PBE | relaxed
data_ZnSiPt2
_cell_length_a 2.9048
_cell_length_b 2.9048
_cell_length_c 24.8223
_cell_angle_alpha 90.00
_cell_angle_beta 90.00
_cell_angle_gamma 120.00
_symmetry_space_group_name_H-M 'R 3 m'
_symmetry_Int_Tables_number 160
_symmetry_space_group_name_Hall 'R 3 -2"'
loop_
_atom_site_label
_atom_site_fract_x
_atom_site_fract_y
_atom_site_fract_z
_atom_site_occupancy
Zn1 0.0000 0.0000 0.0000 1
Si1 0.0000 0.0000 0.7496 1
Pt1 0.0000 0.0000 0.2520 1
Pt2 0.0000 0.0000 0.4891 1
# - raw formation energy (eV/atom) = -0.243
# - M_tot (μB/f.u.) = 0.0
# - calculated total energy (eV/atom) = -4.938

Record 3
# Zn2CoTc | Alexandria | GGA-PBE | relaxed
data_Zn2CoTc
_cell_length_a 2.686
_cell_length_b 3.557
_cell_length_c 5.542
_cell_angle_alpha 90.00
_cell_angle_beta 90.09
_cell_angle_gamma 90.00
_symmetry_space_group_name_H-M 'P 1 m 1'
_symmetry_Int_Tables_number 6
_symmetry_space_group_name_Hall 'P -2y'
loop_
_atom_site_label
_atom_site_fract_x
_atom_site_fract_y
_atom_site_fract_z
_atom_site_occupancy
Zn1 0.000 0.000 0.000 1
Zn2 0.500 0.500 0.248 1
Co1 0.501 0.500 0.738 1
Tc1 0.000 0.000 0.526 1
# - offset from the most stable computed form (eV/atom) = 0.0760
# - energy relative to the elements (kJ per mole of atoms) = 5.5
# - M_tot (μB/f.u.) = 0.0
# - calculated total energy (eV/atom) = -4.948

> What is the M_tot in the first record?

0.0 μB/f.u.